Below is Al5Co after structural relaxation, with properties calculated at the PBE-GGA level.

The structure in CIF format:
```
data_Al5Co
_cell_length_a 7.2466
_cell_length_b 7.2466
_cell_length_c 7.2466
_cell_angle_alpha 90.00
_cell_angle_beta 90.00
_cell_angle_gamma 90.00
_space_group_name_H-M_alt 'F -4 3 m'
_space_group_IT_number 216
_space_group_name_Hall 'F -4 2 3'
loop_
_atom_site_label
_atom_site_fract_x
_atom_site_fract_y
_atom_site_fract_z
Al1 0.0000 0.0000 0.0000
Al2 0.1247 0.1247 0.6247
Co1 0.2500 0.2500 0.2500
```

Calculated formation energy = 0.248 eV/atom
Magnetization = 0.26 μB per atom
Density of states at the Fermi level = 2.9 states/eV/f.u.

***

Below is Al19Co6 after structural relaxation, with properties calculated at the PBE-GGA level.

The structure in CIF format:
```
data_Al19Co6
_cell_length_a 15.1515
_cell_length_b 8.1208
_cell_length_c 12.4494
_cell_angle_alpha 90.00
_cell_angle_beta 108.53
_cell_angle_gamma 90.00
_space_group_name_H-M_alt 'C 1 2/m 1'
_space_group_IT_number 12
loop_
_space_group_symop_operation_xyz
'x,y,z'
'-x,-y,-z'
'-x,y,-z'
'x,-y,z'
'x+1/2,y+1/2,z'
'-x+1/2,-y+1/2,-z'
'-x+1/2,y+1/2,-z'
'x+1/2,-y+1/2,z'
loop_
_atom_site_label
_atom_site_fract_x
_atom_site_fract_y
_atom_site_fract_z
Al1 0.0000 0.2494 0.0000
Al2 0.0075 0.2802 0.6690
Al3 0.0269 0.5000 0.1685
Al4 0.0670 0.0000 0.1735
Al5 0.0783 0.0000 0.5793
Al6 0.0891 0.0000 0.7844
Al7 0.1283 0.3056 0.5236
Al8 0.1288 0.2848 0.8900
Al9 0.1780 0.2233 0.3355
Al10 0.1794 0.5000 0.7278
Al11 0.1851 0.2226 0.1142
Al12 0.2116 0.5000 0.2373
Al13 0.2336 0.0000 0.5181
Al14 0.2436 0.0000 0.9762
Co1 0.0803 0.0000 0.3796
Co2 0.0910 0.0000 0.9838
Co3 0.1002 0.5000 0.0165
Co4 0.1090 0.5000 0.3683
Co5 0.1744 0.2237 0.7197
```

Calculated formation energy = -0.395 eV/atom
Magnetization = 0.00 μB per atom
Density of states at the Fermi level = 7.6 states/eV/f.u.

***

Below is AlCo4 after structural relaxation, with properties calculated at the PBE-GGA level.

The structure in CIF format:
```
data_AlCo4
_cell_length_a 5.2595
_cell_length_b 5.2595
_cell_length_c 5.2595
_cell_angle_alpha 90.00
_cell_angle_beta 90.00
_cell_angle_gamma 90.00
_space_group_name_H-M_alt 'I m -3 m'
_space_group_IT_number 229
_space_group_name_Hall '-I 4 2 3'
loop_
_atom_site_label
_atom_site_fract_x
_atom_site_fract_y
_atom_site_fract_z
Al1 0.0000 0.0000 0.0000
Co1 0.2500 0.2500 0.2500
```

Calculated formation energy = 0.855 eV/atom
Magnetization = 1.24 μB per atom
Density of states at the Fermi level = 8.9 states/eV/f.u.

***

Below is AlCo after structural relaxation, with properties calculated at the PBE-GGA level.

The structure in CIF format:
```
data_AlCo
_cell_length_a 7.2042
_cell_length_b 7.2042
_cell_length_c 7.2042
_cell_angle_alpha 90.00
_cell_angle_beta 90.00
_cell_angle_gamma 90.00
_space_group_name_H-M_alt 'I -4 3 m'
_space_group_IT_number 217
_space_group_name_Hall 'I -4 2 3'
loop_
_atom_site_label
_atom_site_fract_x
_atom_site_fract_y
_atom_site_fract_z
Al1 0.2009 0.2009 0.2009
Co1 0.1133 0.1133 0.8867
```

Calculated formation energy = 0.631 eV/atom
Magnetization = 0.29 μB per atom
Density of states at the Fermi level = 2.5 states/eV/f.u.

***

Below is AlCo after structural relaxation, with properties calculated at the PBE-GGA level.

The structure in CIF format:
```
data_AlCo
_cell_length_a 6.5973
_cell_length_b 6.5973
_cell_length_c 4.3097
_cell_angle_alpha 90.00
_cell_angle_beta 90.00
_cell_angle_gamma 120.00
_space_group_name_H-M_alt 'P 63/m'
_space_group_IT_number 176
_space_group_name_Hall '-P 6c'
loop_
_atom_site_label
_atom_site_fract_x
_atom_site_fract_y
_atom_site_fract_z
Al1 0.0814 0.2967 0.2500
Co1 0.1157 0.4769 0.7500
```

Calculated formation energy = -0.084 eV/atom
Magnetization = 0.20 μB per atom
Density of states at the Fermi level = 1.7 states/eV/f.u.

***

Below is Al4Co after structural relaxation, with properties calculated at the PBE-GGA level.

The structure in CIF format:
```
data_Al4Co
_cell_length_a 4.5026
_cell_length_b 4.5026
_cell_length_c 4.5026
_cell_angle_alpha 90.00
_cell_angle_beta 90.00
_cell_angle_gamma 90.00
_space_group_name_H-M_alt 'P m -3 m'
_space_group_IT_number 221
_space_group_name_Hall '-P 4 2 3'
loop_
_atom_site_label
_atom_site_fract_x
_atom_site_fract_y
_atom_site_fract_z
Al1 0.0000 0.0000 0.0000
Al2 0.0000 0.5000 0.5000
Co1 0.5000 0.5000 0.5000
```

Calculated formation energy = 0.059 eV/atom
Magnetization = 0.00 μB per atom
Density of states at the Fermi level = 2.6 states/eV/f.u.

***

Below is Al5Co after structural relaxation, with properties calculated at the PBE-GGA level.

The structure in CIF format:
```
data_Al5Co
_cell_length_a 2.7846
_cell_length_b 2.7846
_cell_length_c 11.5163
_cell_angle_alpha 90.00
_cell_angle_beta 90.00
_cell_angle_gamma 90.00
_space_group_name_H-M_alt 'P 4/m m m'
_space_group_IT_number 123
_space_group_name_Hall '-P 4 2'
loop_
_atom_site_label
_atom_site_fract_x
_atom_site_fract_y
_atom_site_fract_z
Al1 0.0000 0.0000 0.0000
Al2 0.0000 0.0000 0.3707
Al3 0.5000 0.5000 0.1868
Co1 0.5000 0.5000 0.5000
```

Calculated formation energy = -0.194 eV/atom
Magnetization = 0.00 μB per atom
Density of states at the Fermi level = 2.9 states/eV/f.u.

***

Below is Al5Co3 after structural relaxation, with properties calculated at the PBE-GGA level.

The structure in CIF format:
```
data_Al5Co3
_cell_length_a 6.9828
_cell_length_b 6.9828
_cell_length_c 4.9792
_cell_angle_alpha 90.00
_cell_angle_beta 90.00
_cell_angle_gamma 120.00
_space_group_name_H-M_alt 'P 63/m c m'
_space_group_IT_number 193
_space_group_name_Hall '-P 6c 2'
loop_
_atom_site_label
_atom_site_fract_x
_atom_site_fract_y
_atom_site_fract_z
Al1 0.0000 0.2464 0.2500
Al2 0.3333 0.6667 0.0000
Co1 0.0000 0.3970 0.7500
```

Calculated formation energy = -0.383 eV/atom
Magnetization = 0.00 μB per atom
Density of states at the Fermi level = 6.6 states/eV/f.u.